# 1
First-principles (PBE) data for a geometry-optimized Tb8Pm3Sm3 structure, as listed in Alexandria.

Unit cell a=5.6863 b=10.8303 c=15.1840 alpha=90.00 beta=90.00 gamma=90.00
Space group Immm (No. 71)
Symmetry-distinct sites (fractional):
Tb1 0.0000 0.1600 0.1031 [8 per cell]
Tb2 0.0000 0.3398 0.2787 [8 per cell]
Pm1 0.0000 0.1988 0.5000 [4 per cell]
Pm2 0.0000 0.5000 0.5000 [2 per cell]
Sm1 0.0000 0.0000 0.3153 [4 per cell]
Sm2 0.0000 0.5000 0.0000 [2 per cell]

Calculated values
Mass density = 7.7 g cm⁻³
M_tot = 0.00 μB per formula unit
Distance to the lowest polymorph of the same formula = 2 meV/atom
DFT formation energy = 110 meV/atom


# 2
First-principles (PBE) data for a geometry-optimized In2TeI structure, as listed in Alexandria.

Unit cell a=8.3805 b=8.3805 c=8.9728 alpha=90.00 beta=90.00 gamma=90.00
Space group I-42d (No. 122)
Symmetry-distinct sites (fractional):
In1 0.2277 0.2500 0.1250 [8 per cell]
Te1 0.0000 0.0000 0.0000 [4 per cell]
I1 0.0000 0.0000 0.5000 [4 per cell]

Calculated values
Mass density = 5.1 g cm⁻³
Uncorrected formation energy = -0.191 eV/atom
M_tot = 0.00 μB per formula unit
Distance to the lowest polymorph of the same formula = 122 meV/atom


# 3
First-principles (PBE) data for a geometry-optimized ThAlCo2H structure, as listed in Alexandria.

Unit cell a=3.9975 b=10.8239 c=6.4709 alpha=90.00 beta=90.00 gamma=90.00
Space group Cmcm (No. 63)
Symmetry-distinct sites (fractional):
Th1 0.0000 0.0894 0.2500 [4 per cell]
Al1 0.0000 0.1960 0.7500 [4 per cell]
Co1 0.0000 0.3428 0.0463 [8 per cell]
H1 0.0000 0.5000 0.0000 [4 per cell]

Calculated values
Mass density = 9.0 g cm⁻³
M_tot = 0.00 μB per formula unit
DFT total energy = -6.1083 eV per atom


Among the records above, which one has the highest mass density?
ThAlCo2H


Look up the M_tot of the third one.
0.00 μB per formula unit


Among the records above, which one has the highest mass density?
ThAlCo2H


Repeat the second record exactly.
First-principles (PBE) data for a geometry-optimized In2TeI structure, as listed in Alexandria.

Unit cell a=8.3805 b=8.3805 c=8.9728 alpha=90.00 beta=90.00 gamma=90.00
Space group I-42d (No. 122)
Symmetry-distinct sites (fractional):
In1 0.2277 0.2500 0.1250 [8 per cell]
Te1 0.0000 0.0000 0.0000 [4 per cell]
I1 0.0000 0.0000 0.5000 [4 per cell]

Calculated values
Mass density = 5.1 g cm⁻³
Uncorrected formation energy = -0.191 eV/atom
M_tot = 0.00 μB per formula unit
Distance to the lowest polymorph of the same formula = 122 meV/atom